[1]
A plane-wave DFT calculation with PBE was carried out for an optimized crystal structure of LaHf2Rh.

```
data_LaHf2Rh
_chemical_formula_sum 'La4 Hf8 Rh4'
_cell_length_a 4.111
_cell_length_b 4.111
_cell_length_c 22.118
_cell_angle_alpha 90.00
_cell_angle_beta 90.00
_cell_angle_gamma 90.00
_space_group_name_H-M_alt 'I -4 2 d'
_space_group_IT_number 122
_space_group_name_Hall 'I -4 2bw'
loop_
_atom_site_label
_atom_site_fract_x
_atom_site_fract_y
_atom_site_fract_z
La1 0.000 0.000 0.000
Hf1 0.238 0.250 0.625
Rh1 0.000 0.000 0.500
```

D(E_F) = 23.09 states/eV per cell
Mass density = 10.6 g cm⁻³
Raw total energy = -0.578 Ry per atom
Magnetic moment = 0.00 μB per cell
Volume = 23.4 Å³ per atom
ΔE_f = 0.1771 eV per atom

=====

[2]
A plane-wave DFT calculation with PBE was carried out for an optimized crystal structure of LaHfRh3.

```
data_LaHfRh3
_chemical_formula_sum 'La1 Hf1 Rh3'
_cell_length_a 4.834
_cell_length_b 4.834
_cell_length_c 4.834
_cell_angle_alpha 90.00
_cell_angle_beta 90.00
_cell_angle_gamma 90.00
_space_group_name_H-M_alt 'P m -3 m'
_space_group_IT_number 221
_space_group_name_Hall '-P 4 2 3'
loop_
_atom_site_label
_atom_site_fract_x
_atom_site_fract_y
_atom_site_fract_z
La1 0.000 0.000 0.000
Hf1 0.500 0.500 0.500
Rh1 0.000 0.500 0.500
```

D(E_F) = 2.72 states/eV per cell
Mass density = 9.2 g cm⁻³
Raw total energy = -0.556 Ry per atom
Magnetic moment = 0.00 μB per cell
Volume = 22.6 Å³ per atom
ΔE_f = -0.1757 eV per atom

=====

> Which value of volume does entry 1 give?

23.4 Å³ per atom

=====

> D(E_F) of number 1 (LaHf2Rh)?

23.09 states/eV per cell

=====

What did the second record say?
A plane-wave DFT calculation with PBE was carried out for an optimized crystal structure of LaHfRh3.

```
data_LaHfRh3
_chemical_formula_sum 'La1 Hf1 Rh3'
_cell_length_a 4.834
_cell_length_b 4.834
_cell_length_c 4.834
_cell_angle_alpha 90.00
_cell_angle_beta 90.00
_cell_angle_gamma 90.00
_space_group_name_H-M_alt 'P m -3 m'
_space_group_IT_number 221
_space_group_name_Hall '-P 4 2 3'
loop_
_atom_site_label
_atom_site_fract_x
_atom_site_fract_y
_atom_site_fract_z
La1 0.000 0.000 0.000
Hf1 0.500 0.500 0.500
Rh1 0.000 0.500 0.500
```

D(E_F) = 2.72 states/eV per cell
Mass density = 9.2 g cm⁻³
Raw total energy = -0.556 Ry per atom
Magnetic moment = 0.00 μB per cell
Volume = 22.6 Å³ per atom
ΔE_f = -0.1757 eV per atom

=====

Copy entry 1 word for word.
A plane-wave DFT calculation with PBE was carried out for an optimized crystal structure of LaHf2Rh.

```
data_LaHf2Rh
_chemical_formula_sum 'La4 Hf8 Rh4'
_cell_length_a 4.111
_cell_length_b 4.111
_cell_length_c 22.118
_cell_angle_alpha 90.00
_cell_angle_beta 90.00
_cell_angle_gamma 90.00
_space_group_name_H-M_alt 'I -4 2 d'
_space_group_IT_number 122
_space_group_name_Hall 'I -4 2bw'
loop_
_atom_site_label
_atom_site_fract_x
_atom_site_fract_y
_atom_site_fract_z
La1 0.000 0.000 0.000
Hf1 0.238 0.250 0.625
Rh1 0.000 0.000 0.500
```

D(E_F) = 23.09 states/eV per cell
Mass density = 10.6 g cm⁻³
Raw total energy = -0.578 Ry per atom
Magnetic moment = 0.00 μB per cell
Volume = 23.4 Å³ per atom
ΔE_f = 0.1771 eV per atom